No. 1
# KAsIr3 (PBE, relaxed)
# E above lowest polymorph (meV per atom): 0
# Crystal system: cubic
# Energy relative to the elements (eV/atom): 0.9064
data_KAsIr3
_space_group_name_H-M_alt 'P 1'
_space_group_IT_number 1
_space_group_name_Hall 'P 1'
_cell_length_a 4.692
_cell_length_b 4.692
_cell_length_c 4.692
_cell_angle_alpha 90.00
_cell_angle_beta 90.00
_cell_angle_gamma 90.00
loop_
_atom_site_label
_atom_site_type_symbol
_atom_site_fract_x
_atom_site_fract_y
_atom_site_fract_z
_atom_site_occupancy
K1 K 0.000 0.000 0.000 1
As1 As 0.500 0.500 0.500 1
Ir1 Ir 0.000 0.500 0.500 1
Ir2 Ir 0.500 0.000 0.500 1
Ir3 Ir 0.500 0.500 0.000 1


No. 2
# FeSeBr2 (PBE, relaxed)
# E above lowest polymorph (meV per atom): 250
# E_form (uncorrected) (eV/atom): 0.052
# Crystal system: orthorhombic
data_FeSeBr2
_space_group_name_H-M_alt 'P 1'
_space_group_IT_number 1
_space_group_name_Hall 'P 1'
_cell_length_a 3.291
_cell_length_b 7.867
_cell_length_c 9.339
_cell_angle_alpha 90.00
_cell_angle_beta 90.00
_cell_angle_gamma 90.00
loop_
_atom_site_label
_atom_site_type_symbol
_atom_site_fract_x
_atom_site_fract_y
_atom_site_fract_z
_atom_site_occupancy
Fe1 Fe 0.000 0.000 0.000 1
Fe2 Fe 0.500 0.500 0.000 1
Se1 Se 0.000 0.500 0.178 1
Se2 Se 0.500 0.000 0.178 1
Br1 Br 0.000 0.000 0.440 1
Br2 Br 0.000 0.500 0.809 1
Br3 Br 0.500 0.000 0.809 1
Br4 Br 0.500 0.500 0.440 1


No. 3
# KZrHS2 (PBE, relaxed)
# Crystal system: tetragonal
data_KZrHS2
_space_group_name_H-M_alt 'P 1'
_space_group_IT_number 1
_space_group_name_Hall 'P 1'
_cell_length_a 5.056
_cell_length_b 5.056
_cell_length_c 4.146
_cell_angle_alpha 90.00
_cell_angle_beta 90.00
_cell_angle_gamma 90.00
loop_
_atom_site_label
_atom_site_type_symbol
_atom_site_fract_x
_atom_site_fract_y
_atom_site_fract_z
_atom_site_occupancy
K1 K 0.000 0.000 0.000 1
Zr1 Zr 0.500 0.500 0.500 1
H1 H 0.500 0.500 0.000 1
S1 S 0.000 0.500 0.500 1
S2 S 0.500 0.000 0.500 1


Number 1: total energy -5.560 eV/atom, total magnetization 0.000 μB/atom. Number 2: total energy -3.771 eV/atom, total magnetization 0.801 μB/atom. Number 3: total energy -5.329 eV/atom, total magnetization 0.000 μB/atom.